20
Lattice="4.4450 -4.9757 0.0000 4.4450 4.9757 0.0000 -1.9771 0.0000 6.8670" Properties=species:S:1:pos:R:3 comment="GGA-PBE NpTlB2O6, optimized geometry" volume_a3_per_cell=304 final_energy_ev_per_atom=-8.17 raw_formation_energy_ev_per_atom=-2.3309 space_group=C2/c total_magnetization_mub_per_fu=2.00 dos_ef_per_ev_cell=14.08 pbc="T T T"
Np 2.9622 3.2353 5.1502
Np 3.9508 -3.2353 1.7167
Tl 3.9508 1.0510 1.7167
Tl 2.9622 -1.0510 5.1502
B 0.4194 1.0442 4.7952
B 1.4079 -1.0442 1.3617
B 5.5051 1.0442 5.5053
B 6.4936 -1.0442 2.0718
O 2.7681 3.2171 3.0253
O 1.0489 0.2482 1.6863
O 1.4970 1.6302 5.4247
O 0.0603 -0.2482 5.1198
O 5.1334 3.2171 0.4082
O 4.4275 1.6302 4.8758
O 2.4855 -1.6302 1.9912
O 1.7796 -3.2171 6.4587
O 6.8526 0.2482 1.7472
O 5.4160 -1.6302 1.4423
O 5.8641 -0.2482 5.1806
O 4.1449 -3.2171 3.8417